DFT (PBE-GGA) results for a relaxed structure of MnNbSe2N.

Cell lengths 4.924, 4.924, 3.453 Å; angles 90.00, 90.00, 90.00 degrees
Last column: magnetic moment on the atom in μB.
Element x y z (fractional)
Nb 0.500 0.500 0.500  1.56
Mn 0.000 0.000 0.000  1.89
Se 0.000 0.500 0.000  -0.09
Se 0.500 0.000 0.000  -0.09
N 0.000 0.000 0.500  -0.21

Energy relative to the lowest polymorph listed for this composition ... 0.126 eV per atom
Symmetry ... No. 123
Calculated density ... 6.34 g cm⁻³
Formation energy (no corrections) ... 0.231 eV per atom
M_tot ... 3.37 μB/f.u.
Crystal system ... tetragonal